# 1
AgHRh2 (PBE-GGA, optimized geometry); symmetry = I-42d, No. 122; total magnetic moment = 2.2 μB per cell; total energy = -39.15 eV for the cell shown
1.0
-3.048 3.048 2.739
3.048 -3.048 2.739
3.048 3.048 -2.739
Ag H Rh
2 2 4
Direct
0.000 0.000 0.000
0.750 0.250 0.500
0.250 0.750 0.500
0.500 0.500 0.000
0.237 0.625 0.112
0.375 0.487 0.612
0.513 0.125 0.888
0.875 0.763 0.388

# 2
Ca3Ga4Si (PBE-GGA, optimized geometry); symmetry = Immm, No. 71; total magnetic moment = 0.0 μB per cell; total energy = -25.38 eV for the cell shown
1.0
-2.365 2.651 8.337
2.365 -2.651 8.337
2.365 2.651 -8.337
Ca Ga Si
3 4 1
Direct
0.000 0.000 0.000
0.292 0.792 0.500
0.708 0.208 0.500
0.114 0.376 0.738
0.361 0.624 0.738
0.639 0.376 0.262
0.886 0.624 0.262
0.500 0.500 0.000

# 3
Rb2HgI (PBE-GGA, optimized geometry); symmetry = P4/mmm, No. 123; total magnetic moment = 0.0 μB per cell; total energy = -6.94 eV for the cell shown
1.0
4.517 0.000 0.000
0.000 4.517 0.000
0.000 0.000 8.799
Rb Hg I
2 1 1
Direct
0.000 0.000 0.244
0.000 0.000 0.756
0.500 0.500 0.500
0.500 0.500 0.000

# 4
MnCu4Pb (PBE-GGA, optimized geometry); symmetry = F-43m, No. 216; total magnetic moment = 4.5 μB per cell; total energy = -28.23 eV for the cell shown; energy relative to the elements = 0.17 eV/atom
1.0
0.000 3.553 3.553
3.553 0.000 3.553
3.553 3.553 0.000
Mn Cu Pb
1 4 1
Direct
0.000 0.000 0.000
0.374 0.374 0.374
0.374 0.374 0.878
0.374 0.878 0.374
0.878 0.374 0.374
0.750 0.750 0.750

# 5
HoTm4ScS8 (PBE-GGA, optimized geometry); symmetry = R3m, No. 160; total magnetic moment = 0.0 μB per cell; total energy = -88.41 eV for the cell shown
1.0
3.969 2.292 6.365
-3.969 2.292 6.365
0.000 -4.583 6.365
Ho Tm Sc S
1 4 1 8
Direct
0.000 0.000 0.000
0.122 0.622 0.622
0.245 0.245 0.245
0.622 0.122 0.622
0.622 0.622 0.122
0.622 0.622 0.622
0.379 0.379 0.379
0.384 0.384 0.847
0.384 0.847 0.384
0.400 0.859 0.859
0.847 0.384 0.384
0.859 0.400 0.859
0.859 0.859 0.400
0.865 0.865 0.865

# 6
CaCuCl2O (PBE-GGA, optimized geometry); symmetry = P4/mmm, No. 123; total magnetic moment = 0.2 μB per cell; total energy = -20.51 eV for the cell shown
1.0
4.855 0.000 0.000
0.000 4.855 0.000
0.000 0.000 3.793
Ca Cu Cl O
1 1 2 1
Direct
0.000 0.000 0.000
0.500 0.500 0.500
0.000 0.500 0.500
0.500 0.000 0.500
0.500 0.500 0.000

# 7
BaHo3Se4O12 (PBE-GGA, optimized geometry); symmetry = R32, No. 155; total magnetic moment = 0.2 μB per cell; total energy = -123.74 eV for the cell shown
1.0
6.004 3.467 2.770
-6.004 3.467 2.770
0.000 -6.933 2.770
Ba Ho Se O
1 3 4 12
Direct
0.000 0.000 0.000
0.000 0.555 0.445
0.445 0.000 0.555
0.555 0.445 0.000
0.052 0.500 0.948
0.500 0.500 0.500
0.500 0.948 0.052
0.948 0.052 0.500
0.040 0.639 0.778
0.111 0.889 0.500
0.222 0.361 0.960
0.340 0.660 0.500
0.361 0.960 0.222
0.500 0.111 0.889
0.500 0.340 0.660
0.639 0.778 0.040
0.660 0.500 0.340
0.778 0.040 0.639
0.889 0.500 0.111
0.960 0.222 0.361

# 8
AlGaPCl (PBE-GGA, optimized geometry); symmetry = P1, No. 1; total magnetic moment = 0.0 μB per cell; total energy = -15.80 eV for the cell shown
1.0
3.728 0.000 0.000
-0.004 3.739 0.000
-1.838 -1.126 7.943
Al Ga P Cl
1 1 1 1
Direct
0.000 0.000 0.000
0.674 0.355 0.354
0.082 0.551 0.167
0.409 0.944 0.816